A geometry-optimized ErTmSiPt structure. Source: Alexandria, functional GGA-PBE.

Properties
Polymorph energy (0 for the lowest one)   178 meV/atom
M_tot   0.0000 μB/atom

Cell and atoms, written as CIF:
```
data_ErTmSiPt
_symmetry_space_group_name_H-M 'F -4 3 m'
_symmetry_Int_Tables_number 216
_symmetry_space_group_name_Hall 'F -4 2 3'
_cell_length_a 6.961
_cell_length_b 6.961
_cell_length_c 6.961
_cell_angle_alpha 90.00
_cell_angle_beta 90.00
_cell_angle_gamma 90.00
loop_
_atom_site_label
_atom_site_type_symbol
_atom_site_fract_x
_atom_site_fract_y
_atom_site_fract_z
Er1 Er 0.000 0.000 0.000
Tm1 Tm 0.000 0.000 0.500
Si1 Si 0.250 0.250 0.750
Pt1 Pt 0.250 0.250 0.250
```

=====

A geometry-optimized ErTmSiPt structure. Source: Alexandria, functional GGA-PBE.

Properties
Polymorph energy (0 for the lowest one)   0 meV/atom
M_tot   0.0000 μB/atom

Cell and atoms, written as CIF:
```
data_ErTmSiPt
_symmetry_space_group_name_H-M 'A m m 2'
_symmetry_Int_Tables_number 38
_symmetry_space_group_name_Hall 'A 2 -2'
_cell_length_a 4.155
_cell_length_b 3.927
_cell_length_c 10.591
_cell_angle_alpha 90.00
_cell_angle_beta 90.00
_cell_angle_gamma 90.00
loop_
_atom_site_label
_atom_site_type_symbol
_atom_site_fract_x
_atom_site_fract_y
_atom_site_fract_z
Er1 Er 0.000 0.000 0.000
Tm1 Tm 0.500 0.000 0.283
Si1 Si 0.000 0.000 0.719
Pt1 Pt 0.500 0.000 0.564
```

=====

A geometry-optimized ErU2Si2Pt7 structure. Source: Alexandria, functional GGA-PBE.

Properties
Final energy   -7.550 eV per atom
M_tot   0.4415 μB/atom

Cell and atoms, written as CIF:
```
data_ErU2Si2Pt7
_symmetry_space_group_name_H-M 'C 1 2/m 1'
_symmetry_Int_Tables_number 12
_symmetry_space_group_name_Hall '-C 2y'
_cell_length_a 5.750
_cell_length_b 5.655
_cell_length_c 13.781
_cell_angle_alpha 90.00
_cell_angle_beta 98.45
_cell_angle_gamma 90.00
loop_
_atom_site_label
_atom_site_type_symbol
_atom_site_fract_x
_atom_site_fract_y
_atom_site_fract_z
Er1 Er 0.000 0.000 0.000
U1 U 0.119 0.000 0.358
Si1 Si 0.092 0.500 0.256
Pt1 Pt 0.000 0.500 0.000
Pt2 Pt 0.142 0.500 0.430
Pt3 Pt 0.192 0.250 0.840
```